[1]
Pr6Eu | PBE | relaxed

The structure in POSCAR format:
```
Pr6Eu
1.0
-1.590 7.069 -0.935
-6.006 -3.589 2.103
5.162 -0.678 5.125
Pr Eu
6 1
Direct
0.750 0.250 0.500
0.250 0.500 0.750
0.500 0.750 0.250
0.750 0.500 0.250
0.500 0.250 0.750
0.250 0.750 0.500
0.000 0.000 0.000
```

Output
Crystal system ... cubic
Energy relative to the elements ... 24.02 kcal/mol of atoms
Space-group type ... No. 229

=====

[2]
Pr3Eu | PBE | relaxed

The structure in POSCAR format:
```
Pr3Eu
1.0
3.769 0.000 0.000
0.000 6.556 0.000
-1.884 -3.278 6.051
Pr Eu
3 1
Direct
0.755 0.089 0.510
0.500 0.501 0.000
0.245 0.578 0.490
0.000 0.999 0.000
```

Output
Crystal system ... orthorhombic
Energy relative to the elements ... 1.18 kcal/mol of atoms
Space-group type ... No. 44

=====

[3]
PrEu6 | PBE | relaxed

The structure in POSCAR format:
```
PrEu6
1.0
7.313 0.000 0.000
-2.438 6.895 0.000
-2.438 -3.448 5.971
Pr Eu
1 6
Direct
0.000 0.000 0.000
0.500 0.750 0.250
0.250 0.750 0.500
0.750 0.250 0.500
0.750 0.500 0.250
0.250 0.500 0.750
0.500 0.250 0.750
```

Output
Crystal system ... cubic
Energy relative to the elements ... 24.01 kcal/mol of atoms
Space-group type ... No. 229

=====

[4]
PrEuPt2 | PBE | relaxed

The structure in POSCAR format:
```
PrEuPt2
1.0
3.621 0.000 0.000
0.000 3.621 0.000
0.000 0.000 7.231
Pr Pt Eu
1 2 1
Direct
0.500 0.500 0.500
0.000 0.000 0.262
0.000 0.000 0.738
0.500 0.500 0.000
```

Output
Crystal system ... tetragonal
Energy relative to the elements ... -22.69 kcal/mol of atoms
Space-group type ... No. 123

=====

[5]
PrEuPt | PBE | relaxed

The structure in POSCAR format:
```
PrEuPt
1.0
-4.311 2.610 -0.293
-2.515 0.237 -4.371
-4.393 -2.432 -0.519
Pt Eu Pr
1 1 1
Direct
0.250 0.250 0.250
0.000 0.000 0.000
0.500 0.500 0.500
```

Output
Crystal system ... cubic
Energy relative to the elements ... -16.45 kcal/mol of atoms
Space-group type ... No. 216

=====

[6]
PrEuPt2 | PBE | relaxed

The structure in POSCAR format:
```
PrEuPt2
1.0
4.217 0.000 0.000
2.109 3.652 0.000
2.109 1.217 6.922
Eu Pt Pr
1 2 1
Direct
0.000 0.000 0.000
0.249 0.249 0.254
0.751 0.751 0.746
0.500 0.500 0.500
```

Output
Crystal system ... trigonal
Energy relative to the elements ... -21.24 kcal/mol of atoms
Space-group type ... No. 166

=====

[7]
PrEuPt | PBE | relaxed

The structure in POSCAR format:
```
PrEuPt
1.0
6.614 0.000 0.000
0.000 4.265 0.000
0.000 -2.133 3.694
Pr Eu Pt
1 1 1
Direct
0.234 0.333 0.667
0.757 0.667 0.333
0.009 0.000 0.000
```

Output
Crystal system ... trigonal
Energy relative to the elements ... -15.91 kcal/mol of atoms
Space-group type ... No. 156

=====

[8]
PrEuPt2 | PBE | relaxed

The structure in POSCAR format:
```
PrEuPt2
1.0
5.105 0.000 0.000
2.553 4.421 0.000
2.553 1.474 4.169
Eu Pt Pr
1 2 1
Direct
0.000 0.000 0.000
0.750 0.750 0.750
0.250 0.250 0.250
0.500 0.500 0.500
```

Output
Crystal system ... cubic
Energy relative to the elements ... -22.68 kcal/mol of atoms
Space-group type ... No. 225

=====

[9]
PrEuPt4 | PBE | relaxed

The structure in POSCAR format:
```
PrEuPt4
1.0
-0.231 0.958 5.436
-0.429 -4.226 3.533
4.278 -1.348 3.226
Pt Eu Pr
4 1 1
Direct
0.124 0.625 0.625
0.625 0.124 0.625
0.625 0.625 0.625
0.625 0.625 0.124
0.000 0.000 0.000
0.250 0.250 0.250
```

Output
Crystal system ... cubic
Energy relative to the elements ... -23.47 kcal/mol of atoms
Space-group type ... No. 216

=====

[10]
PrEuPtRh | PBE | relaxed

The structure in POSCAR format:
```
PrEuPtRh
1.0
-0.465 -3.059 4.003
0.254 -5.017 -0.606
4.017 -2.555 1.712
Pt Eu Rh Pr
1 1 1 1
Direct
0.750 0.750 0.750
0.000 0.000 0.000
0.250 0.250 0.250
0.500 0.500 0.500
```

Output
Crystal system ... cubic
Energy relative to the elements ... -16.55 kcal/mol of atoms
Space-group type ... No. 216

=====

[11]
PrEuTlPt | PBE | relaxed

The structure in POSCAR format:
```
PrEuTlPt
1.0
-0.916 1.483 -5.045
-5.012 0.482 -1.772
-2.011 4.834 -1.037
Pt Eu Pr Tl
1 1 1 1
Direct
0.750 0.750 0.750
0.000 0.000 0.000
0.500 0.500 0.500
0.250 0.250 0.250
```

Output
Crystal system ... cubic
Energy relative to the elements ... -13.38 kcal/mol of atoms
Space-group type ... No. 216

=====

[12]
PrEuZnPt | PBE | relaxed

The structure in POSCAR format:
```
PrEuZnPt
1.0
5.171 0.000 0.000
2.586 4.478 0.000
2.586 1.493 4.222
Pt Zn Pr Eu
1 1 1 1
Direct
0.750 0.750 0.750
0.250 0.250 0.250
0.500 0.500 0.500
0.000 0.000 0.000
```

Output
Crystal system ... cubic
Energy relative to the elements ... -14.58 kcal/mol of atoms
Space-group type ... No. 216

=====

[13]
PrEu2Pu | PBE | relaxed

The structure in POSCAR format:
```
PrEu2Pu
1.0
-3.274 -1.284 0.923
-0.317 -3.350 1.377
0.236 3.019 12.196
Eu Pr Pu
2 1 1
Direct
0.251 0.251 0.246
0.749 0.749 0.754
0.500 0.500 0.500
0.000 0.000 0.000
```

Output
Crystal system ... trigonal
Energy relative to the elements ... 4.90 kcal/mol of atoms
Space-group type ... No. 166

=====

[14]
PrEuPu4 | PBE | relaxed

The structure in POSCAR format:
```
PrEuPu4
1.0
6.383 0.000 0.000
3.191 5.528 0.000
3.191 1.843 5.212
Eu Pr Pu
1 1 4
Direct
0.250 0.250 0.250
0.000 0.000 0.000
0.625 0.625 0.124
0.625 0.124 0.625
0.124 0.625 0.625
0.625 0.625 0.625
```

Output
Crystal system ... cubic
Energy relative to the elements ... 6.81 kcal/mol of atoms
Space-group type ... No. 216

=====

[15]
PrEuPu | PBE | relaxed

The structure in POSCAR format:
```
PrEuPu
1.0
-1.010 -1.675 -3.013
-2.752 -1.499 1.756
-2.721 7.799 -1.281
Pr Eu Pu
1 1 1
Direct
0.324 0.324 0.649
0.007 0.007 0.014
0.669 0.669 0.338
```

Output
Crystal system ... tetragonal
Energy relative to the elements ... 4.15 kcal/mol of atoms
Space-group type ... No. 107

=====

[16]
PrEuPu | PBE | relaxed

The structure in POSCAR format:
```
PrEuPu
1.0
5.882 0.000 0.000
-2.941 5.094 0.000
0.000 0.000 3.402
Pu Eu Pr
1 1 1
Direct
0.333 0.667 0.670
0.000 0.000 0.150
0.667 0.333 0.179
```

Output
Crystal system ... trigonal
Energy relative to the elements ... 7.03 kcal/mol of atoms
Space-group type ... No. 156

=====

[17]
PrEuRe4 | PBE | relaxed

The structure in POSCAR format:
```
PrEuRe4
1.0
5.498 0.000 0.000
2.749 4.761 0.000
2.749 1.587 4.489
Pr Re Eu
1 4 1
Direct
0.250 0.250 0.250
0.625 0.625 0.125
0.125 0.625 0.625
0.625 0.625 0.625
0.625 0.125 0.625
0.000 0.000 0.000
```

Output
Crystal system ... cubic
Energy relative to the elements ... 3.47 kcal/mol of atoms
Space-group type ... No. 216

=====

[18]
Pr2EuRh | PBE | relaxed

The structure in POSCAR format:
```
Pr2EuRh
1.0
4.115 0.000 0.000
2.057 3.564 0.000
2.057 1.188 9.581
Eu Pr Rh
1 2 1
Direct
0.500 0.500 0.500
0.279 0.279 0.164
0.721 0.721 0.836
0.000 0.000 0.000
```

Output
Crystal system ... trigonal
Energy relative to the elements ... -7.34 kcal/mol of atoms
Space-group type ... No. 166

=====

[19]
PrEu3Rh | PBE | relaxed

The structure in POSCAR format:
```
PrEu3Rh
1.0
-5.589 0.440 0.590
-0.104 -4.946 2.703
0.729 2.669 4.911
Pr Rh Eu
1 1 3
Direct
0.500 0.500 0.500
0.000 0.000 0.000
0.500 0.000 0.000
0.000 0.000 0.500
0.000 0.500 0.000
```

Output
Crystal system ... cubic
Energy relative to the elements ... -2.24 kcal/mol of atoms
Space-group type ... No. 221

=====

[20]
Pr2EuRh | PBE | relaxed

The structure in POSCAR format:
```
Pr2EuRh
1.0
3.640 0.000 0.000
0.000 3.640 0.000
0.000 0.000 9.506
Pr Rh Eu
2 1 1
Direct
0.000 0.000 0.824
0.000 0.000 0.176
0.500 0.500 0.000
0.500 0.500 0.500
```

Output
Crystal system ... tetragonal
Energy relative to the elements ... -6.19 kcal/mol of atoms
Space-group type ... No. 123